(1)
B3PdO after structural relaxation, computed with GGA-PBE.

Results
Total magnetization ... 0.000 μB/f.u.
Space group ... Pm-3m, No. 221
Energy relative to the lowest polymorph listed for this composition ... 0.000 eV per atom
Formation energy (no corrections) ... 1.349 eV/atom

Unit cell a=3.5379 b=3.5379 c=3.5379 alpha=90.00 beta=90.00 gamma=90.00
Element x y z (fractional)
B: 0.0000 0.0000 0.5000
B: 0.0000 0.5000 0.0000
B: 0.5000 0.0000 0.0000
Pd: 0.5000 0.5000 0.5000
O: 0.0000 0.0000 0.0000

(2)
BPd2O after structural relaxation, computed with GGA-PBE.

Results
Total magnetization ... 0.000 μB/f.u.
Space group ... I-42d, No. 122
Energy relative to the lowest polymorph listed for this composition ... 0.000 eV per atom
Formation energy (no corrections) ... 0.090 eV/atom

Unit cell a=5.8781 b=5.8781 c=5.8781 alpha=131.56 beta=131.56 gamma=70.92
Element x y z (fractional)
B: 0.0000 0.0000 0.0000
B: 0.7500 0.2500 0.5000
Pd: 0.0997 0.6250 0.9747
Pd: 0.3750 0.3497 0.4747
Pd: 0.6503 0.1250 0.0253
Pd: 0.8750 0.9003 0.5253
O: 0.2500 0.7500 0.5000
O: 0.5000 0.5000 0.0000

(3)
B3PdO after structural relaxation, computed with GGA-PBE.

Results
Total magnetization ... 0.996 μB/f.u.
Space group ... Pm-3m, No. 221
Energy relative to the lowest polymorph listed for this composition ... 0.172 eV per atom
Formation energy (no corrections) ... 1.521 eV/atom

Unit cell a=4.0370 b=4.0370 c=4.0370 alpha=90.00 beta=90.00 gamma=90.00
Element x y z (fractional)
B: 0.0000 0.0000 0.5000
B: 0.0000 0.5000 0.0000
B: 0.5000 0.0000 0.0000
Pd: 0.0000 0.0000 0.0000
O: 0.5000 0.5000 0.5000